Record 1
Material: CaHfReNi2
Method: DFT, meta-GGA SCAN
State: PBEsol geometry

a b c (Å): 4.418 4.418 4.984
angles (deg): 90.00 90.00 90.00
Element x y z (fractional)
Hf: 0.000 0.000 0.000
Ni: 0.000 0.500 0.000
Ni: 0.500 0.000 0.000
Re: 0.500 0.500 0.500
Ca: 0.000 0.000 0.500

SG = P4/mmm (123)

Record 2
Material: Ca2HfTcNi
Method: DFT, meta-GGA SCAN
State: PBEsol geometry

a b c (Å): 4.615 4.936 4.936
angles (deg): 90.00 90.00 90.00
Element x y z (fractional)
Ca: 0.000 0.000 0.500
Ca: 0.000 0.500 0.000
Hf: 0.500 0.500 0.500
Tc: 0.500 0.000 0.000
Ni: 0.000 0.000 0.000

SG = P4/mmm (123)

Record 3
Material: CaHf2ZrNi
Method: DFT, meta-GGA SCAN
State: PBEsol geometry

a b c (Å): 4.975 4.975 5.283
angles (deg): 90.00 90.00 90.00
Element x y z (fractional)
Ni: 0.500 0.500 0.500
Hf: 0.000 0.500 0.000
Hf: 0.500 0.000 0.000
Zr: 0.000 0.000 0.000
Ca: 0.000 0.000 0.500

SG = P4/mmm (123)

Record 4
Material: Ca2Hf7O16
Method: DFT, meta-GGA SCAN
State: PBEsol geometry

a b c (Å): 6.284 6.284 9.457
angles (deg): 70.59 70.59 60.00
Element x y z (fractional)
Ca: 0.333 0.333 0.000
Ca: 0.667 0.667 0.000
O: 0.760 0.328 0.878
O: 0.238 0.238 0.285
O: 0.851 0.589 0.408
O: 0.328 0.033 0.878
O: 0.672 0.967 0.122
O: 0.240 0.672 0.122
O: 0.848 0.149 0.592
O: 0.426 0.426 0.721
O: 0.033 0.760 0.878
O: 0.411 0.848 0.592
O: 0.152 0.851 0.408
O: 0.967 0.240 0.122
O: 0.149 0.411 0.592
O: 0.762 0.762 0.715
O: 0.574 0.574 0.279
O: 0.589 0.152 0.408
Hf: 0.743 0.488 0.657
Hf: 0.257 0.512 0.343
Hf: 0.488 0.113 0.657
Hf: 0.113 0.743 0.657
Hf: 0.512 0.887 0.343
Hf: 0.000 0.000 0.000
Hf: 0.887 0.257 0.343

SG = R-3 (148)

Record 5
Material: Ca6HfO8
Method: DFT, meta-GGA SCAN
State: PBEsol geometry

a b c (Å): 6.707 6.707 6.707
angles (deg): 60.00 60.00 60.00
Element x y z (fractional)
O: 0.750 0.750 0.750
O: 0.250 0.250 0.250
O: 0.780 0.220 0.780
O: 0.220 0.780 0.220
O: 0.220 0.220 0.780
O: 0.780 0.780 0.220
O: 0.220 0.780 0.780
O: 0.780 0.220 0.220
Ca: 0.000 0.500 0.000
Ca: 0.500 0.000 0.500
Ca: 0.500 0.500 0.000
Ca: 0.500 0.000 0.000
Ca: 0.000 0.000 0.500
Ca: 0.000 0.500 0.500
Hf: 0.000 0.000 0.000

SG = Fm-3m (225)

Record 6
Material: Ca2HfO
Method: DFT, meta-GGA SCAN
State: PBEsol geometry

a b c (Å): 6.596 6.596 6.596
angles (deg): 93.76 117.86 117.86
Element x y z (fractional)
Hf: 0.000 0.000 0.000
Hf: 0.500 0.750 0.250
O: 0.500 0.250 0.750
O: 0.000 0.500 0.500
Ca: 0.343 0.468 0.625
Ca: 0.843 0.375 0.718
Ca: 0.157 0.875 0.532
Ca: 0.657 0.282 0.125

SG = I-42d (122)

Record 7
Material: SrCa3Hf4O12
Method: DFT, meta-GGA SCAN
State: PBEsol geometry

a b c (Å): 5.580 5.720 7.976
angles (deg): 90.00 90.00 89.86
Element x y z (fractional)
Ca: 0.010 0.957 0.000
Ca: 0.986 0.048 0.500
Ca: 0.489 0.448 0.000
Hf: 0.999 0.501 0.247
Hf: 0.500 0.998 0.248
Hf: 0.999 0.501 0.753
Hf: 0.500 0.998 0.752
O: 0.206 0.207 0.806
O: 0.400 0.983 0.500
O: 0.301 0.701 0.802
O: 0.600 0.030 0.000
O: 0.708 0.290 0.291
O: 0.801 0.799 0.698
O: 0.708 0.290 0.709
O: 0.301 0.701 0.198
O: 0.801 0.799 0.302
O: 0.077 0.462 0.500
O: 0.206 0.207 0.194
O: 0.897 0.543 0.000
Sr: 0.510 0.538 0.500

SG = Pm (6)

Record 8
Material: CaHf3Os
Method: DFT, meta-GGA SCAN
State: PBEsol geometry

a b c (Å): 4.674 4.674 4.674
angles (deg): 90.00 90.00 90.00
Element x y z (fractional)
Ca: 0.000 0.000 0.000
Hf: 0.000 0.000 0.500
Hf: 0.000 0.500 0.000
Hf: 0.500 0.000 0.000
Os: 0.500 0.500 0.500

SG = Pm-3m (221)

Record 9
Material: Ca2HfScOs
Method: DFT, meta-GGA SCAN
State: PBEsol geometry

a b c (Å): 4.948 5.409 5.409
angles (deg): 90.00 90.00 90.00
Element x y z (fractional)
Os: 0.000 0.000 0.000
Ca: 0.000 0.500 0.000
Ca: 0.000 0.000 0.500
Sc: 0.500 0.500 0.500
Hf: 0.500 0.000 0.000

SG = P4/mmm (123)

Record 10
Material: CaHf2ReP
Method: DFT, meta-GGA SCAN
State: PBEsol geometry

a b c (Å): 4.622 4.743 4.743
angles (deg): 90.00 90.00 90.00
Element x y z (fractional)
Re: 0.500 0.500 0.500
Hf: 0.000 0.500 0.000
Hf: 0.000 0.000 0.500
P: 0.500 0.000 0.000
Ca: 0.000 0.000 0.000

SG = P4/mmm (123)

Record 11
Material: CaHfP2S
Method: DFT, meta-GGA SCAN
State: PBEsol geometry

a b c (Å): 4.848 4.843 4.843
angles (deg): 90.00 90.00 90.00
Element x y z (fractional)
Hf: 0.500 0.500 0.500
P: 0.000 0.000 0.500
P: 0.000 0.500 0.000
Ca: 0.000 0.000 0.000
S: 0.500 0.000 0.000

SG = P4/mmm (123)

Record 12
Material: CaHfPS2
Method: DFT, meta-GGA SCAN
State: PBEsol geometry

a b c (Å): 4.847 4.847 4.911
angles (deg): 90.00 90.00 90.00
Element x y z (fractional)
Hf: 0.500 0.500 0.500
Ca: 0.000 0.000 0.000
P: 0.000 0.000 0.500
S: 0.000 0.500 0.000
S: 0.500 0.000 0.000

SG = P4/mmm (123)

Record 13
Material: CaHf2Pt2
Method: DFT, meta-GGA SCAN
State: PBEsol geometry

a b c (Å): 4.545 4.545 6.226
angles (deg): 111.41 111.41 90.00
Element x y z (fractional)
Pt: 0.622 0.622 0.245
Pt: 0.378 0.378 0.755
Hf: 0.250 0.750 0.500
Hf: 0.750 0.250 0.500
Ca: 0.000 0.000 0.000

SG = I4/mmm (139)

Record 14
Material: CaHfTc2Pt
Method: DFT, meta-GGA SCAN
State: PBEsol geometry

a b c (Å): 4.366 4.366 4.718
angles (deg): 90.00 90.00 90.00
Element x y z (fractional)
Pt: 0.500 0.500 0.500
Tc: 0.000 0.500 0.000
Tc: 0.500 0.000 0.000
Hf: 0.000 0.000 0.500
Ca: 0.000 0.000 0.000

SG = P4/mmm (123)

Record 15
Material: CaHf2Rh
Method: DFT, meta-GGA SCAN
State: PBEsol geometry

a b c (Å): 4.770 4.770 4.770
angles (deg): 60.00 60.00 60.00
Element x y z (fractional)
Rh: 0.500 0.500 0.500
Ca: 0.000 0.000 0.000
Hf: 0.250 0.250 0.250
Hf: 0.750 0.750 0.750

SG = Fm-3m (225)

Record 16
Material: CaHfRh3
Method: DFT, meta-GGA SCAN
State: PBEsol geometry

a b c (Å): 4.743 4.743 4.743
angles (deg): 90.00 90.00 90.00
Element x y z (fractional)
Rh: 0.500 0.000 0.000
Rh: 0.000 0.500 0.000
Rh: 0.000 0.000 0.500
Ca: 0.500 0.500 0.500
Hf: 0.000 0.000 0.000

SG = Pm-3m (221)

Record 17
Material: Ca2HfRh2
Method: DFT, meta-GGA SCAN
State: PBEsol geometry

a b c (Å): 4.766 4.766 5.673
angles (deg): 114.84 114.84 90.00
Element x y z (fractional)
Ca: 0.357 0.357 0.713
Ca: 0.643 0.643 0.287
Rh: 0.250 0.750 0.500
Rh: 0.750 0.250 0.500
Hf: 0.000 0.000 0.000

SG = I4/mmm (139)

Record 18
Material: CaHfSiRh2
Method: DFT, meta-GGA SCAN
State: PBEsol geometry

a b c (Å): 4.482 4.482 4.945
angles (deg): 90.00 90.00 90.00
Element x y z (fractional)
Ca: 0.000 0.000 0.000
Rh: 0.000 0.500 0.000
Rh: 0.500 0.000 0.000
Si: 0.000 0.000 0.500
Hf: 0.500 0.500 0.500

SG = P4/mmm (123)

Record 19
Material: CaHfSc2Ru
Method: DFT, meta-GGA SCAN
State: PBEsol geometry

a b c (Å): 4.939 4.939 5.277
angles (deg): 90.00 90.00 90.00
Element x y z (fractional)
Sc: 0.500 0.000 0.000
Sc: 0.000 0.500 0.000
Hf: 0.000 0.000 0.000
Ca: 0.000 0.000 0.500
Ru: 0.500 0.500 0.500

SG = P4/mmm (123)

Record 20
Material: Ca3HfSb
Method: DFT, meta-GGA SCAN
State: PBEsol geometry

a b c (Å): 5.782 5.782 5.782
angles (deg): 90.00 90.00 90.00
Element x y z (fractional)
Ca: 0.000 0.000 0.500
Ca: 0.500 0.000 0.000
Ca: 0.000 0.500 0.000
Hf: 0.500 0.500 0.500
Sb: 0.000 0.000 0.000

SG = Pm-3m (221)

In order of appearance, ρ = 8914, 6134, 6946, 8815, 4257, 4365, 7265, 12453, 5665, 9811, 4564, 4514, 11868, 11259, 10820, 8207, 7441, 7563, 5282, 3613 kg/m3.
In order of appearance, Fermi-level density of states = 2.9, 5.3, 4.0, 0.0, 0.0, 3.9, 0.0, 4.2, 4.7, 4.1, 3.6, 3.2, 1.9, 5.8, 5.0, 4.9, 1.5, 3.0, 4.5, 6.5 states/eV/f.u..
In order of appearance, total energy = -33.218, -25.775, -34.814, -26.113, -14.751, -22.722, -22.538, -51.646, -33.199, -40.999, -19.738, -19.954, -56.199, -40.312, -42.164, -34.649, -29.538, -28.676, -25.660, -25.372 eV per atom.